No. 1
Hg2Mo2As (GGA-PBE, optimized geometry); N(E_F) = 4.979 states/eV/f.u.; formation enthalpy at 0 K = 0.79 eV/atom; mass density = 10.87 Mg/m³
1.0
-1.8818 1.8818 7.2046
1.8818 -1.8818 7.2046
1.8818 1.8818 -7.2046
Hg Mo As
2 2 1
Direct
0.2500 0.7500 0.5000
0.7500 0.2500 0.5000
0.0801 0.0801 0.0000
0.9199 0.9199 0.0000
0.5000 0.5000 0.0000

No. 2
PmBiP2Rh5 (GGA-PBE, optimized geometry); N(E_F) = 4.896 states/eV/f.u.; formation enthalpy at 0 K = -0.62 eV/atom; mass density = 8.98 Mg/m³
1.0
4.0610 0.0000 0.0000
0.0000 4.0610 0.0000
0.0000 0.0000 10.4375
Pm Bi P Rh
1 1 2 5
Direct
0.0000 0.0000 0.0000
0.0000 0.0000 0.5000
0.5000 0.5000 0.2164
0.5000 0.5000 0.7836
0.0000 0.5000 0.3151
0.0000 0.5000 0.6849
0.5000 0.0000 0.3151
0.5000 0.0000 0.6849
0.5000 0.5000 0.0000